Below is a geometry-optimized BaAcPr2 structure, with properties calculated at the PBE level.

## Properties
Formation energy from the elements: 185.3 meV per atom
Space-group type: No. 166
VASP energy: -14.85 eV/cell
Size of the total moment: 0.00 μB per atom
Energy above the most stable polymorph in this dataset: 0.084 eV per atom
V: 42.90 A^3/atom

Cell: 3.827 3.827 13.711 Å, 81.98 81.98 60.00°
Fractional positions:
Pr: 0.909 0.909 0.274
Pr: 0.091 0.091 0.726
Ba: 0.000 0.000 0.000
Ac: 0.500 0.500 0.500